Material: Sr2MnF
Method: DFT, PBE with a Hubbard U
State: optimized geometry

a b c (Å): 5.6732 5.6732 5.6732
angles (deg): 60.00 60.00 60.00
Last column: nearest neighbours and their distance in Å.
Positions (direct):
Sr  0.2500  0.2500  0.2500  4 Mn 3.47, 4 F 3.47
Sr  0.7500  0.7500  0.7500  4 Mn 3.47, 4 F 3.47
Mn  0.0000  0.0000  0.0000  8 Sr 3.47
F  0.5000  0.5000  0.5000  8 Sr 3.47

Properties
* relative energy among the computed polymorphs: 0.531 eV/atom
* spin magnetization: 4.97 μB per formula unit
* VASP energy: -3.6979 eV/atom
* crystal system: cubic
* calculated volume: 32.3 A^3/atom